HoTaMnC3: optimized geometry, PBE.

Unit cell a=6.819 b=3.300 c=7.271 alpha=90.00 beta=100.81 gamma=90.00
Sites, in units of the cell vectors:
1 Ho 0.173 0.250 0.192
2 Ho 0.827 0.750 0.808
3 Ta 0.356 0.750 0.855
4 Ta 0.644 0.250 0.145
5 Mn 0.099 0.250 0.602
6 Mn 0.901 0.750 0.398
7 C 0.121 0.250 0.855
8 C 0.175 0.750 0.525
9 C 0.431 0.750 0.153
10 C 0.569 0.250 0.847
11 C 0.825 0.250 0.475
12 C 0.879 0.750 0.145

Calculated values
Total DFT energy (no corrections) (eV per atom): -9.024
Density (g/cm3): 9.028

---

AlS: optimized geometry, PBE.

Unit cell a=3.626 b=8.746 c=5.989 alpha=90.00 beta=90.00 gamma=90.00
Sites, in units of the cell vectors:
1 Al 0.000 0.149 0.000
2 Al 0.000 0.851 0.000
3 Al 0.500 0.351 0.500
4 Al 0.500 0.649 0.500
5 S 0.000 0.207 0.387
6 S 0.000 0.793 0.387
7 S 0.500 0.293 0.887
8 S 0.500 0.707 0.887

Calculated values
Density (g/cm3): 2.065
Energy relative to the elements, uncorrected (eV per atom): -0.82

---

Zn2CdAu: optimized geometry, PBE.

Unit cell a=4.164 b=4.164 c=7.947 alpha=90.00 beta=90.00 gamma=90.00
Sites, in units of the cell vectors:
1 Zn 0.000 0.500 0.250
2 Zn 0.000 0.500 0.750
3 Zn 0.500 0.000 0.250
4 Zn 0.500 0.000 0.750
5 Cd 0.000 0.000 0.000
6 Cd 0.500 0.500 0.500
7 Au 0.000 0.000 0.500
8 Au 0.500 0.500 0.000

Calculated values
Offset from the most stable computed form (meV per atom): 33
Density (g/cm3): 10.611